# 1
Material: Sr2TiCr
Method: DFT, GGA-PBE
State: relaxed

a b c (Å): 8.8620 8.8620 7.0721
angles (deg): 51.20 51.20 90.00
With the nearest neighbours (Å) after each atom.
Atoms (fractional coordinates):
Cr1 0.0000 0.0000 0.0000  4 Sr 3.12, 2 Ti 3.28
Sr1 0.8750 0.8944 0.7500  2 Cr 3.12, 2 Sr 3.30, 2 Ti 3.36
Cr2 0.7500 0.2500 0.5000  4 Sr 3.12, 2 Ti 3.28
Sr2 0.6444 0.1250 0.2500  2 Cr 3.12, 2 Sr 3.30, 2 Ti 3.36
Sr3 0.3750 0.3556 0.7500  2 Cr 3.12, 2 Sr 3.30, 2 Ti 3.36
Sr4 0.1056 0.6250 0.2500  2 Cr 3.12, 2 Sr 3.30, 2 Ti 3.36
Ti1 0.5000 0.5000 0.0000  2 Cr 3.28, 4 Sr 3.36
Ti2 0.2500 0.7500 0.5000  2 Cr 3.28, 4 Sr 3.36

## Properties
Density of states at the Fermi level ... 10.2 states/eV/cell
ΔH_f (0 K) ... 429 kJ/mol of formula units
Energy above the most stable polymorph in this dataset ... 0.2597 eV per atom
Total magnetization ... 12.19 μB per cell

# 2
Material: SrTi2Cr
Method: DFT, GGA-PBE
State: relaxed

a b c (Å): 6.8875 6.8875 6.8966
angles (deg): 60.04 60.04 90.00
With the nearest neighbours (Å) after each atom.
Atoms (fractional coordinates):
Sr1 0.0000 0.0000 0.0000  12 Ti 4.04-4.05, 4 Cr 4.22, 4 Sr 4.22
Cr1 0.2500 0.7500 0.5000  4 Ti 2.11
Sr2 0.7500 0.2500 0.5000  12 Ti 4.04-4.05, 4 Sr 4.22, 4 Cr 4.22
Cr2 0.5000 0.5000 0.0000  4 Ti 2.11
Ti1 0.8750 0.6250 0.7500  2 Cr 2.11
Ti2 0.3750 0.1250 0.2500  2 Cr 2.11
Ti3 0.3750 0.6250 0.2500  2 Cr 2.11
Ti4 0.3750 0.6250 0.7500  2 Cr 2.11

## Properties
Density of states at the Fermi level ... 12.6 states/eV/cell
ΔH_f (0 K) ... 370 kJ/mol of formula units
Energy above the most stable polymorph in this dataset ... 0.0050 eV per atom
Total magnetization ... 0.06 μB per cell

# 3
Material: Sr3TiCr
Method: DFT, GGA-PBE
State: relaxed

a b c (Å): 5.9931 5.9931 5.9931
angles (deg): 90.00 90.00 90.00
With the nearest neighbours (Å) after each atom.
Atoms (fractional coordinates):
Sr1 0.0000 0.0000 0.5000  2 Cr 3.00
Ti1 0.5000 0.5000 0.5000  12 Sr 4.24
Sr2 0.5000 0.0000 0.0000  2 Cr 3.00
Sr3 0.0000 0.5000 0.0000  2 Cr 3.00
Cr1 0.0000 0.0000 0.0000  6 Sr 3.00

## Properties
Density of states at the Fermi level ... 20.0 states/eV/cell
ΔH_f (0 K) ... 556 kJ/mol of formula units
Energy above the most stable polymorph in this dataset ... 0.0000 eV per atom
Total magnetization ... 3.93 μB per cell

# 4
Material: SrTi2Cr
Method: DFT, GGA-PBE
State: relaxed

a b c (Å): 4.7666 4.7666 4.7666
angles (deg): 60.00 60.00 60.00
With the nearest neighbours (Å) after each atom.
Atoms (fractional coordinates):
Sr1 0.5000 0.5000 0.5000  8 Ti 2.92
Ti1 0.2500 0.2500 0.2500  4 Cr 2.92, 4 Sr 2.92
Ti2 0.7500 0.7500 0.7500  4 Cr 2.92, 4 Sr 2.92
Cr1 0.0000 0.0000 0.0000  8 Ti 2.92

## Properties
Density of states at the Fermi level ... 9.7 states/eV/cell
ΔH_f (0 K) ... 368 kJ/mol of formula units
Energy above the most stable polymorph in this dataset ... 0.0000 eV per atom
Total magnetization ... 0.01 μB per cell

# 5
Material: Sr2TiCr
Method: DFT, GGA-PBE
State: relaxed

a b c (Å): 5.6395 5.6395 5.6395
angles (deg): 60.00 60.00 60.00
With the nearest neighbours (Å) after each atom.
Atoms (fractional coordinates):
Sr1 0.2500 0.2500 0.2500  4 Cr 3.45, 4 Ti 3.45
Sr2 0.7500 0.7500 0.7500  4 Ti 3.45, 4 Cr 3.45
Ti1 0.0000 0.0000 0.0000  8 Sr 3.45
Cr1 0.5000 0.5000 0.5000  8 Sr 3.45

## Properties
Density of states at the Fermi level ... 11.0 states/eV/cell
ΔH_f (0 K) ... 329 kJ/mol of formula units
Energy above the most stable polymorph in this dataset ... 0.0000 eV per atom
Total magnetization ... 1.10 μB per cell

# 6
Material: SrZrTiCr2
Method: DFT, GGA-PBE
State: relaxed

a b c (Å): 4.8565 5.6667 4.8565
angles (deg): 90.00 90.00 90.00
With the nearest neighbours (Å) after each atom.
Atoms (fractional coordinates):
Sr1 0.0000 0.5000 0.0000  2 Zr 2.83
Zr1 0.0000 0.0000 0.0000  4 Cr 2.43
Cr1 0.5000 0.0000 0.0000  2 Zr 2.43
Cr2 0.0000 0.0000 0.5000  2 Zr 2.43
Ti1 0.5000 0.5000 0.5000  4 Sr 3.43, 8 Cr 3.73

## Properties
Density of states at the Fermi level ... 6.1 states/eV/cell
ΔH_f (0 K) ... 803 kJ/mol of formula units
Total magnetization ... 8.32 μB per cell

# 7
Material: SrTlCr2
Method: DFT, GGA-PBE
State: relaxed

a b c (Å): 5.4240 5.4240 5.4240
angles (deg): 132.47 120.12 79.80
With the nearest neighbours (Å) after each atom.
Atoms (fractional coordinates):
Cr1 0.9588 0.9588 0.0000  2 Cr 2.53
Tl1 0.2212 0.7212 0.5000  4 Cr 3.09-3.35, 4 Sr 3.20-3.28
Sr1 0.5153 0.5153 0.0000  4 Tl 3.20-3.28, 8 Cr 3.22-3.51
Cr2 0.8047 0.3047 0.5000  2 Cr 2.53

## Properties
Density of states at the Fermi level ... 2.2 states/eV/cell
ΔH_f (0 K) ... 195 kJ/mol of formula units
Energy above the most stable polymorph in this dataset ... 0.1399 eV per atom
Total magnetization ... 0.01 μB per cell

# 8
Material: SrTlCr2
Method: DFT, GGA-PBE
State: relaxed

a b c (Å): 10.0632 10.0632 10.0632
angles (deg): 20.15 20.15 20.15
With the nearest neighbours (Å) after each atom.
Atoms (fractional coordinates):
Cr1 0.0100 0.0100 0.0100  3 Tl 2.97
Sr1 0.2500 0.2500 0.2500  6 Cr 3.43, 6 Sr 3.52
Cr2 0.4900 0.4900 0.4900  3 Tl 2.97
Tl1 0.7500 0.7500 0.7500  6 Cr 2.97

## Properties
Density of states at the Fermi level ... 2.1 states/eV/cell
ΔH_f (0 K) ... 356 kJ/mol of formula units
Energy above the most stable polymorph in this dataset ... 0.5568 eV per atom
Total magnetization ... 8.40 μB per cell